1.
Cs4Sm3NpSe8 after structural relaxation. Source: Alexandria, functional GGA-PBE.

Structure (POSCAR):
```
Cs4Sm3NpSe8
1.0
8.717 0.000 0.000
0.000 9.750 0.722
-4.359 -4.354 6.167
Sm Se Np Cs
3 8 1 4
Direct
0.000 0.500 0.500 Sm
0.500 0.500 0.000 Sm
0.500 0.500 0.500 Sm
0.730 0.689 0.459 Se
0.730 0.687 0.959 Se
0.270 0.313 0.041 Se
0.270 0.311 0.541 Se
0.229 0.687 0.959 Se
0.771 0.313 0.041 Se
0.771 0.313 0.542 Se
0.229 0.687 0.458 Se
0.000 0.500 0.000 Np
0.500 0.000 0.500 Cs
0.000 0.000 0.500 Cs
0.500 0.000 0.000 Cs
0.000 0.000 0.000 Cs
```

## Properties
Its symmetry is No. 166. The total energy comes out at -5.248 eV/atom. The value obtained for the size of the total moment is 0.250 μB per atom. For the energy relative to the elements, uncorrected, the calculation gives -1.60 eV/atom.

2.
Li2MnPbCl6 after structural relaxation. Source: Alexandria, functional GGA-PBE.

Structure (POSCAR):
```
Li2MnPbCl6
1.0
6.665 0.001 -0.001
3.333 5.773 -0.001
3.332 1.924 6.095
Cl Li Mn Pb
6 2 1 1
Direct
0.368 0.726 0.764 Cl
0.921 0.588 0.240 Cl
0.726 0.142 0.764 Cl
0.142 0.368 0.764 Cl
0.251 0.921 0.239 Cl
0.588 0.251 0.240 Cl
0.013 0.013 0.961 Li
0.519 0.519 0.444 Li
0.320 0.320 0.038 Mn
0.813 0.813 0.560 Pb
```

## Properties
Its symmetry is No. 146. The total energy comes out at -4.147 eV/atom. The value obtained for the size of the total moment is 0.500 μB per atom. For the energy relative to the elements, uncorrected, the calculation gives -1.37 eV/atom.

3.
Tb2PuRh4 after structural relaxation. Source: Alexandria, functional GGA-PBE.

Structure (POSCAR):
```
Tb2PuRh4
1.0
4.711 0.000 -1.502
-0.479 4.686 -1.502
-0.407 -0.450 6.863
Tb Pu Rh
2 1 4
Direct
0.285 0.285 0.570 Tb
0.715 0.715 0.430 Tb
0.000 0.000 0.000 Pu
0.621 0.121 0.242 Rh
0.379 0.879 0.758 Rh
0.879 0.379 0.758 Rh
0.121 0.621 0.242 Rh
```

## Properties
Its symmetry is No. 139. The formation energy is -294 kJ/mol of formula units. The total energy comes out at -8.007 eV/atom. The value obtained for the size of the total moment is 0.627 μB per atom.

4.
La7Ag2Pt2 after structural relaxation. Source: Alexandria, functional GGA-PBE.

Structure (POSCAR):
```
La7Ag2Pt2
1.0
-1.702 1.957 3.062
-8.082 -5.440 1.613
0.479 -6.739 7.202
Pt La Ag
2 7 2
Direct
0.263 0.339 0.135 Pt
0.737 0.865 0.661 Pt
0.624 0.484 0.267 La
0.376 0.733 0.516 La
0.500 0.005 0.995 La
0.867 0.384 0.882 La
0.133 0.118 0.616 La
0.191 0.709 0.908 La
0.809 0.092 0.291 La
0.000 0.763 0.237 Ag
0.500 0.362 0.638 Ag
```

## Properties
Its symmetry is No. 44. The formation energy is -560 kJ/mol of formula units. The total energy comes out at -5.280 eV/atom. The value obtained for the size of the total moment is 0.000 μB per atom. For the energy above the most stable polymorph in this dataset, the calculation gives 0 meV/atom.

5.
TbPr2Ho12 after structural relaxation. Source: Alexandria, functional GGA-PBE.

Structure (POSCAR):
```
TbPr2Ho12
1.0
-1.221 -6.163 1.276
2.583 -1.676 -5.623
22.340 -2.167 10.906
Ho Tb Pr
24 2 4
Direct
0.831 0.669 0.440 Ho
0.000 0.000 0.785 Ho
0.686 0.814 0.884 Ho
0.500 0.500 0.341 Ho
0.000 0.000 0.341 Ho
0.814 0.314 0.884 Ho
0.169 0.331 0.440 Ho
0.314 0.186 0.884 Ho
0.331 0.831 0.440 Ho
0.669 0.169 0.440 Ho
0.169 0.669 0.560 Ho
0.186 0.686 0.884 Ho
0.331 0.169 0.560 Ho
0.186 0.314 0.116 Ho
0.814 0.686 0.116 Ho
0.000 0.000 0.215 Ho
0.314 0.814 0.116 Ho
0.669 0.831 0.560 Ho
0.500 0.500 0.785 Ho
0.500 0.500 0.659 Ho
0.686 0.186 0.116 Ho
0.500 0.500 0.215 Ho
0.000 0.000 0.659 Ho
0.831 0.331 0.560 Ho
0.000 0.500 0.000 Tb
0.500 0.000 0.000 Tb
0.000 0.500 0.272 Pr
0.500 0.000 0.272 Pr
0.000 0.500 0.728 Pr
0.500 0.000 0.728 Pr
```

## Properties
Its symmetry is No. 125. The formation energy is 472 kJ/mol of formula units. The total energy comes out at -4.282 eV/atom. The value obtained for the size of the total moment is 0.000 μB per atom.

6.
ReNiTe2 after structural relaxation. Source: Alexandria, functional GGA-PBE.

Structure (POSCAR):
```
ReNiTe2
1.0
7.747 0.313 -0.022
5.954 4.966 0.022
-6.785 -2.810 2.487
Re Te Ni
1 2 1
Direct
0.170 0.670 0.500 Re
0.015 0.015 0.000 Te
0.761 0.261 0.500 Te
0.554 0.554 0.000 Ni
```

## Properties
Its symmetry is No. 44. The total energy comes out at -5.839 eV/atom. The value obtained for the size of the total moment is 0.000 μB per atom. For the energy relative to the elements, uncorrected, the calculation gives 0.29 eV/atom. For the energy above the most stable polymorph in this dataset, the calculation gives 184 meV/atom.

7.
AcDyTlZn after structural relaxation. Source: Alexandria, functional GGA-PBE.

Structure (POSCAR):
```
AcDyTlZn
1.0
3.817 0.000 0.000
0.000 3.817 0.000
0.000 0.000 7.832
Tl Ac Dy Zn
1 1 1 1
Direct
0.000 0.000 0.823 Tl
0.500 0.500 0.127 Ac
0.500 0.500 0.585 Dy
0.000 0.000 0.393 Zn
```

## Properties
Its symmetry is No. 99. The formation energy is -120 kJ/mol of formula units. The total energy comes out at -3.398 eV/atom. The value obtained for the size of the total moment is 0.000 μB per atom. For the energy above the most stable polymorph in this dataset, the calculation gives 0 meV/atom.

8.
RePtN3 after structural relaxation. Source: Alexandria, functional GGA-PBE.

Structure (POSCAR):
```
RePtN3
1.0
-0.914 -3.053 -2.242
0.162 -2.336 3.115
-3.784 0.638 0.675
Pt N Re
1 3 1
Direct
0.500 0.500 0.500 Pt
0.500 0.000 0.000 N
0.000 0.500 0.000 N
0.000 0.000 0.500 N
0.000 0.000 0.000 Re
```

## Properties
Its symmetry is No. 221. The total energy comes out at -7.452 eV/atom. The value obtained for the size of the total moment is 0.000 μB per atom. For the energy relative to the elements, uncorrected, the calculation gives 1.24 eV/atom.

9.
PmTaNi2 after structural relaxation. Source: Alexandria, functional GGA-PBE.

Structure (POSCAR):
```
PmTaNi2
1.0
3.191 0.000 0.000
0.000 3.191 0.000
0.000 0.000 6.909
Ni Pm Ta
2 1 1
Direct
0.000 0.000 0.187 Ni
0.000 0.000 0.813 Ni
0.500 0.500 0.500 Pm
0.500 0.500 0.000 Ta
```

## Properties
Its symmetry is No. 123. The formation energy is -71 kJ/mol of formula units. The total energy comes out at -7.225 eV/atom. The value obtained for the size of the total moment is 0.000 μB per atom.

10.
LaAl2Pb after structural relaxation. Source: Alexandria, functional GGA-PBE.

Structure (POSCAR):
```
LaAl2Pb
1.0
-2.455 -1.585 4.318
-3.429 -3.852 0.768
2.612 -4.408 2.098
Al Pb La
2 1 1
Direct
0.990 0.990 0.085 Al
0.510 0.510 0.415 Al
0.250 0.250 0.250 Pb
0.750 0.750 0.750 La
```

## Properties
Its symmetry is No. 12. The formation energy is -65 kJ/mol of formula units. The total energy comes out at -4.198 eV/atom. The value obtained for the size of the total moment is 0.000 μB per atom.

11.
HfSc2Ta2 after structural relaxation. Source: Alexandria, functional GGA-PBE.

Structure (POSCAR):
```
HfSc2Ta2
1.0
-2.653 6.755 -2.166
-6.706 -1.635 3.117
1.142 1.486 3.237
Sc Ta Hf
4 4 2
Direct
0.165 0.665 0.500 Sc
0.835 0.335 0.500 Sc
0.335 0.165 0.500 Sc
0.665 0.835 0.500 Sc
0.871 0.629 0.000 Ta
0.629 0.129 0.000 Ta
0.129 0.371 0.000 Ta
0.371 0.871 0.000 Ta
0.000 0.000 0.000 Hf
0.500 0.500 0.000 Hf
```

## Properties
Its symmetry is No. 127. The formation energy is 170 kJ/mol of formula units. The total energy comes out at -8.913 eV/atom. The value obtained for the size of the total moment is 0.000 μB per atom.

12.
Cs2PdAu2 after structural relaxation. Source: Alexandria, functional GGA-PBE.

Structure (POSCAR):
```
Cs2PdAu2
1.0
5.277 0.000 2.007
-0.737 4.429 1.939
0.429 -0.210 6.813
Pd Cs Au
1 2 2
Direct
0.000 0.000 0.000 Pd
0.696 0.196 0.608 Cs
0.304 0.804 0.392 Cs
0.252 0.500 0.000 Au
0.748 0.500 0.000 Au
```

## Properties
Its symmetry is No. 71. The formation energy is -88 kJ/mol of formula units. The total energy comes out at -2.873 eV/atom. The value obtained for the size of the total moment is 0.000 μB per atom. For the energy above the most stable polymorph in this dataset, the calculation gives 0 meV/atom.

size of the total moment of number 6 (ReNiTe2)?
0.000 μB per atom

Look up the size of the total moment of the twelfth one.
0.000 μB per atom

Number 3 is which compound?
Tb2PuRh4

Number 4 is which compound?
La7Ag2Pt2